An optimized crystal structure of LiAlCuW, computed with PBE.

Output
* size of the total moment: 3.5 μB per cell
* relative energy among the computed polymorphs: 0.000 eV/atom

```
data_LiAlCuW
_chemical_formula_sum 'Li4 Al4 Cu4 W4'
_symmetry_space_group_name_H-M 'F -4 3 m'
_symmetry_Int_Tables_number 216
_symmetry_space_group_name_Hall 'F -4 2 3'
_cell_length_a 6.030
_cell_length_b 6.030
_cell_length_c 6.030
_cell_angle_alpha 90.00
_cell_angle_beta 90.00
_cell_angle_gamma 90.00
loop_
_atom_site_label
_atom_site_type_symbol
_atom_site_fract_x
_atom_site_fract_y
_atom_site_fract_z
Li1 Li 0.000 0.000 0.000
Al1 Al 0.000 0.000 0.500
Cu1 Cu 0.250 0.250 0.750
W1 W 0.250 0.250 0.250
```


An optimized crystal structure of LuAlInTe3, computed with PBE.

Output
* size of the total moment: 0.0 μB per cell
* relative energy among the computed polymorphs: 0.034 eV/atom

```
data_LuAlInTe3
_chemical_formula_sum 'Lu4 Al4 In4 Te12'
_symmetry_space_group_name_H-M 'P n m a'
_symmetry_Int_Tables_number 62
_cell_length_a 11.820
_cell_length_b 4.948
_cell_length_c 12.571
_cell_angle_alpha 90.00
_cell_angle_beta 90.00
_cell_angle_gamma 90.00
loop_
_symmetry_equiv_pos_as_xyz
'x,y,z'
'-x,-y,-z'
'-x+1/2,-y,z+1/2'
'x+1/2,y,-z+1/2'
'x+1/2,-y+1/2,-z+1/2'
'-x+1/2,y+1/2,z+1/2'
'-x,y+1/2,-z'
'x,-y+1/2,z'
loop_
_atom_site_label
_atom_site_type_symbol
_atom_site_fract_x
_atom_site_fract_y
_atom_site_fract_z
Lu1 Lu 0.019 0.250 0.187
Al1 Al 0.242 0.250 0.777
In1 In 0.190 0.250 0.496
Te1 Te 0.046 0.750 0.349
Te2 Te 0.084 0.250 0.933
Te3 Te 0.217 0.750 0.688
```


An optimized crystal structure of TcO3, computed with PBE.

Output
* size of the total moment: 0.0 μB per cell
* relative energy among the computed polymorphs: 0.078 eV/atom

```
data_TcO3
_chemical_formula_sum 'Tc4 O12'
_symmetry_space_group_name_H-M 'P 1'
_symmetry_Int_Tables_number 1
_cell_length_a 4.930
_cell_length_b 4.957
_cell_length_c 9.417
_cell_angle_alpha 79.72
_cell_angle_beta 85.59
_cell_angle_gamma 62.23
loop_
_symmetry_equiv_pos_as_xyz
'x,y,z'
loop_
_atom_site_label
_atom_site_type_symbol
_atom_site_fract_x
_atom_site_fract_y
_atom_site_fract_z
Tc1 Tc 0.000 0.000 0.000
Tc2 Tc 0.026 0.467 0.433
Tc3 Tc 0.262 0.319 0.985
Tc4 Tc 0.403 0.008 0.694
O1 O 0.004 0.322 0.842
O2 O 0.067 0.071 0.606
O3 O 0.249 0.727 0.870
O4 O 0.274 0.959 0.131
O5 O 0.316 0.223 0.337
O6 O 0.362 0.371 0.602
O7 O 0.586 0.034 0.861
O8 O 0.634 0.251 0.075
O9 O 0.696 0.487 0.375
O10 O 0.710 0.726 0.620
O11 O 0.995 0.611 0.091
O12 O 0.996 0.826 0.373
```


An optimized crystal structure of CsTbNiSe3, computed with PBE.

Output
* size of the total moment: 1.8 μB per cell
* relative energy among the computed polymorphs: 0.234 eV/atom

```
data_CsTbNiSe3
_chemical_formula_sum 'Cs4 Tb4 Ni4 Se12'
_symmetry_space_group_name_H-M 'C 1 2/m 1'
_symmetry_Int_Tables_number 12
_cell_length_a 16.815
_cell_length_b 4.331
_cell_length_c 9.223
_cell_angle_alpha 90.00
_cell_angle_beta 100.45
_cell_angle_gamma 90.00
loop_
_symmetry_equiv_pos_as_xyz
'x,y,z'
'-x,-y,-z'
'-x,y,-z'
'x,-y,z'
'x+1/2,y+1/2,z'
'-x+1/2,-y+1/2,-z'
'-x+1/2,y+1/2,-z'
'x+1/2,-y+1/2,z'
loop_
_atom_site_label
_atom_site_type_symbol
_atom_site_fract_x
_atom_site_fract_y
_atom_site_fract_z
Cs1 Cs 0.155 0.000 0.064
Tb1 Tb 0.165 0.000 0.577
Ni1 Ni 0.008 0.500 0.296
Se1 Se 0.000 0.000 0.500
Se2 Se 0.000 0.500 0.000
Se3 Se 0.135 0.500 0.764
Se4 Se 0.159 0.500 0.362
```


An optimized crystal structure of LaMgReMo, computed with PBE.

Output
* size of the total moment: 0.0 μB per cell
* relative energy among the computed polymorphs: 0.000 eV/atom

```
data_LaMgReMo
_chemical_formula_sum 'La4 Mg4 Re4 Mo4'
_symmetry_space_group_name_H-M 'F -4 3 m'
_symmetry_Int_Tables_number 216
_symmetry_space_group_name_Hall 'F -4 2 3'
_cell_length_a 6.773
_cell_length_b 6.773
_cell_length_c 6.773
_cell_angle_alpha 90.00
_cell_angle_beta 90.00
_cell_angle_gamma 90.00
loop_
_atom_site_label
_atom_site_type_symbol
_atom_site_fract_x
_atom_site_fract_y
_atom_site_fract_z
La1 La 0.000 0.000 0.000
Mg1 Mg 0.250 0.250 0.250
Re1 Re 0.000 0.000 0.500
Mo1 Mo 0.250 0.250 0.750
```


An optimized crystal structure of Cs2CdO2, computed with PBE.

Output
* total energy: -3.55 eV per atom

```
data_Cs2CdO2
_chemical_formula_sum 'Cs8 Cd4 O8'
_symmetry_space_group_name_H-M 'I b a m'
_symmetry_Int_Tables_number 72
_symmetry_space_group_name_Hall '-I 2 2c'
_cell_length_a 6.871
_cell_length_b 11.357
_cell_length_c 6.201
_cell_angle_alpha 90.00
_cell_angle_beta 90.00
_cell_angle_gamma 90.00
loop_
_atom_site_label
_atom_site_type_symbol
_atom_site_fract_x
_atom_site_fract_y
_atom_site_fract_z
Cs1 Cs 0.133 0.155 0.000
Cd1 Cd 0.000 0.500 0.250
O1 O 0.186 0.407 0.000
```


An optimized crystal structure of Rb2OsS3, computed with PBE.

Output
* size of the total moment: 4.9 μB per cell
* total energy: -4.87 eV per atom

```
data_Rb2OsS3
_chemical_formula_sum 'Rb8 Os4 S12'
_symmetry_space_group_name_H-M 'C m c m'
_symmetry_Int_Tables_number 63
_symmetry_space_group_name_Hall '-C 2c 2'
_cell_length_a 11.649
_cell_length_b 8.790
_cell_length_c 6.641
_cell_angle_alpha 90.00
_cell_angle_beta 90.00
_cell_angle_gamma 90.00
loop_
_atom_site_label
_atom_site_type_symbol
_atom_site_fract_x
_atom_site_fract_y
_atom_site_fract_z
Rb1 Rb 0.160 0.168 0.250
Os1 Os 0.000 0.412 0.750
S1 S 0.000 0.156 0.750
S2 S 0.124 0.500 0.000
```


An optimized crystal structure of GaNiHgPt, computed with PBE.

Output
* size of the total moment: 0.0 μB per cell
* relative energy among the computed polymorphs: 0.000 eV/atom

```
data_GaNiHgPt
_chemical_formula_sum 'Ga4 Ni4 Hg4 Pt4'
_symmetry_space_group_name_H-M 'F -4 3 m'
_symmetry_Int_Tables_number 216
_symmetry_space_group_name_Hall 'F -4 2 3'
_cell_length_a 6.312
_cell_length_b 6.312
_cell_length_c 6.312
_cell_angle_alpha 90.00
_cell_angle_beta 90.00
_cell_angle_gamma 90.00
loop_
_atom_site_label
_atom_site_type_symbol
_atom_site_fract_x
_atom_site_fract_y
_atom_site_fract_z
Ga1 Ga 0.000 0.000 0.000
Ni1 Ni 0.250 0.250 0.250
Hg1 Hg 0.000 0.000 0.500
Pt1 Pt 0.250 0.250 0.750
```


An optimized crystal structure of Gd2DyMg3AlGa2, computed with PBE.

Output
* size of the total moment: 0.0 μB per cell
* total energy: -3.59 eV per atom

```
data_Gd2DyMg3AlGa2
_chemical_formula_sum 'Gd4 Dy2 Mg6 Al2 Ga4'
_symmetry_space_group_name_H-M 'A m m 2'
_symmetry_Int_Tables_number 38
_cell_length_a 4.514
_cell_length_b 12.635
_cell_length_c 7.322
_cell_angle_alpha 90.00
_cell_angle_beta 90.00
_cell_angle_gamma 90.00
loop_
_symmetry_equiv_pos_as_xyz
'x,y,z'
'-x,-y,z'
'-x,y,z'
'x,-y,z'
'x,y+1/2,z+1/2'
'-x,-y+1/2,z+1/2'
'-x,y+1/2,z+1/2'
'x,-y+1/2,z+1/2'
loop_
_atom_site_label
_atom_site_type_symbol
_atom_site_fract_x
_atom_site_fract_y
_atom_site_fract_z
Gd1 Gd 0.000 0.217 0.000
Dy1 Dy 0.000 0.000 0.651
Mg1 Mg 0.500 0.000 0.973
Mg2 Mg 0.500 0.122 0.339
Al1 Al 0.000 0.000 0.219
Ga1 Ga 0.500 0.166 0.717
```


An optimized crystal structure of PmNbNi, computed with PBE.

Output
* size of the total moment: 3.7 μB per cell
* relative energy among the computed polymorphs: 0.000 eV/atom
* energy of formation from the pure elements: 0.443 eV per atom

```
data_PmNbNi
_chemical_formula_sum 'Pm4 Nb4 Ni4'
_symmetry_space_group_name_H-M 'F -4 3 m'
_symmetry_Int_Tables_number 216
_symmetry_space_group_name_Hall 'F -4 2 3'
_cell_length_a 6.386
_cell_length_b 6.386
_cell_length_c 6.386
_cell_angle_alpha 90.00
_cell_angle_beta 90.00
_cell_angle_gamma 90.00
loop_
_atom_site_label
_atom_site_type_symbol
_atom_site_fract_x
_atom_site_fract_y
_atom_site_fract_z
Pm1 Pm 0.000 0.000 0.000
Nb1 Nb 0.000 0.000 0.500
Ni1 Ni 0.250 0.250 0.750
```


An optimized crystal structure of KHoO2, computed with PBE.

Output
* size of the total moment: 0.0 μB per cell
* total energy: -6.68 eV per atom

```
data_KHoO2
_chemical_formula_sum 'K3 Ho3 O6'
_symmetry_space_group_name_H-M 'R -3 m'
_symmetry_Int_Tables_number 166
_symmetry_space_group_name_Hall '-R 3 2"'
_cell_length_a 3.4301
_cell_length_b 3.4301
_cell_length_c 18.5597
_cell_angle_alpha 90.00
_cell_angle_beta 90.00
_cell_angle_gamma 120.00
loop_
_atom_site_label
_atom_site_type_symbol
_atom_site_fract_x
_atom_site_fract_y
_atom_site_fract_z
K1 K 0.0000 0.0000 0.0000
Ho1 Ho 0.0000 0.0000 0.5000
O1 O 0.0000 0.0000 0.2288
```


An optimized crystal structure of HoAuSeO, computed with PBE.

Output
* size of the total moment: 0.0 μB per cell
* relative energy among the computed polymorphs: 0.016 eV/atom

```
data_HoAuSeO
_chemical_formula_sum 'Ho4 Au4 Se4 O4'
_symmetry_space_group_name_H-M 'P c c a'
_symmetry_Int_Tables_number 54
_cell_length_a 5.551
_cell_length_b 9.593
_cell_length_c 5.599
_cell_angle_alpha 90.00
_cell_angle_beta 90.00
_cell_angle_gamma 90.00
loop_
_symmetry_equiv_pos_as_xyz
'x,y,z'
'-x,-y,-z'
'-x+1/2,-y,z'
'x+1/2,y,-z'
'x+1/2,-y,-z+1/2'
'-x+1/2,y,z+1/2'
'-x,y,-z+1/2'
'x,-y,z+1/2'
loop_
_atom_site_label
_atom_site_type_symbol
_atom_site_fract_x
_atom_site_fract_y
_atom_site_fract_z
Ho1 Ho 0.000 0.114 0.250
Au1 Au 0.250 0.500 0.200
Se1 Se 0.000 0.277 0.750
O1 O 0.250 0.000 0.001
```